Record 1
Crystalline PmNdScSn at its relaxed geometry, computed with PBE-GGA.

Values from the calculation:
Its total energy is -5.19 eV/atom. The density of states at the Fermi level comes out at 6.912 states/eV/f.u.

Lattice parameters (Å, degrees): 7.6078 7.6078 7.6078 90.00 90.00 90.00
Space group F-43m (No. 216)
Asymmetric unit:
Pm 0.0000 0.0000 0.0000 (multiplicity 4)
Nd 0.2500 0.2500 0.2500 (multiplicity 4)
Sc 0.2500 0.2500 0.7500 (multiplicity 4)
Sn 0.0000 0.0000 0.5000 (multiplicity 4)

---

Record 2
Crystalline Tb6Pm3Nd2Sc at its relaxed geometry, computed with PBE-GGA.

Values from the calculation:
Its total energy is -4.80 eV/atom. The density of states at the Fermi level comes out at 15.618 states/eV/f.u.

Lattice parameters (Å, degrees): 6.1983 10.7319 11.8700 90.00 100.00 90.00
Space group C2/m (No. 12)
Asymmetric unit:
Tb 0.2470 0.1650 0.2474 (multiplicity 8)
Tb 0.2480 0.0000 0.7520 (multiplicity 4)
Pm 0.0000 0.1665 0.5000 (multiplicity 4)
Pm 0.0000 0.5000 0.5000 (multiplicity 2)
Nd 0.0000 0.3337 0.0000 (multiplicity 4)
Sc 0.0000 0.0000 0.0000 (multiplicity 2)

---

Record 3
Crystalline Tb2Pm6NdSc at its relaxed geometry, computed with PBE-GGA.

Values from the calculation:
Its total energy is -4.76 eV/atom. The density of states at the Fermi level comes out at 14.028 states/eV/f.u.

Lattice parameters (Å, degrees): 9.2949 15.3044 9.4005 90.00 95.61 90.00
Space group C2/c (No. 15)
Asymmetric unit:
Tb 0.2418 0.0511 0.4508 (multiplicity 8)
Pm 0.0540 0.3205 0.9471 (multiplicity 8)
Pm 0.0990 0.1128 0.1111 (multiplicity 8)
Pm 0.2243 0.2833 0.3041 (multiplicity 8)
Nd 0.0000 0.4742 0.2500 (multiplicity 4)
Sc 0.0000 0.0789 0.7500 (multiplicity 4)

---

What are the formation enthalpy at 0 K values for these records? In order: -21.5; 2.3; 12.1 kJ per mole of atoms.